# 1
First-principles (meta-GGA SCAN) data for ZnSi2Cl at its PBEsol-relaxed geometry, as listed in the Alexandria database.

a = 2.8525 Å, b = 4.7964 Å, c = 4.7964 Å
α = 90.00°, β = 90.00°, γ = 90.00°
Last column: nearest neighbours and their distance in Å.
Element x y z (fractional)
1 Cl 0.5000 0.0000 0.0000  8 Si 2.79, 2 Cl 2.85
2 Si 0.0000 0.0000 0.5000  4 Cl 2.79, 4 Zn 2.79, 2 Si 2.85
3 Si 0.0000 0.5000 0.0000  4 Zn 2.79, 4 Cl 2.79, 2 Si 2.85
4 Zn 0.5000 0.5000 0.5000  8 Si 2.79, 2 Zn 2.85

Calculated values
SG	P4/mmm, No. 123
ΔE_f (raw)	0.6030	eV/atom
E	-9.778	eV per atom

***

# 2
First-principles (meta-GGA SCAN) data for Cd2BPbC at its PBEsol-relaxed geometry, as listed in the Alexandria database.

a = 4.4773 Å, b = 5.6037 Å, c = 5.6037 Å
α = 90.00°, β = 90.00°, γ = 90.00°
Last column: nearest neighbours and their distance in Å.
Element x y z (fractional)
1 Pb 0.0000 0.0000 0.0000  2 B 2.24
2 C 0.5000 0.5000 0.5000  8 Cd 3.59, 4 B 3.96
3 B 0.5000 0.0000 0.0000  2 Pb 2.24
4 Cd 0.0000 0.0000 0.5000  2 Pb 2.80
5 Cd 0.0000 0.5000 0.0000  2 Pb 2.80

Calculated values
SG	P4/mmm, No. 123
E	-28.487	eV per atom
formation enthalpy at 0 K	54.0	kcal/mol of atoms

***

# 3
First-principles (meta-GGA SCAN) data for KCdAu at its PBEsol-relaxed geometry, as listed in the Alexandria database.

a = 4.3739 Å, b = 4.7649 Å, c = 4.7649 Å
α = 120.00°, β = 90.00°, γ = 90.00°
Last column: nearest neighbours and their distance in Å.
Element x y z (fractional)
1 K 0.5000 0.3333 0.6667  6 Cd 3.51, 6 Au 3.51
2 Au 0.0000 0.0000 0.0000  3 Cd 2.75
3 Cd 0.0000 0.6667 0.3333  3 Au 2.75

Calculated values
SG	P-6m2, No. 187
E	-36.269	eV per atom
formation enthalpy at 0 K	-7.0	kcal/mol of atoms

***

# 4
First-principles (meta-GGA SCAN) data for TlHgSb at its PBEsol-relaxed geometry, as listed in the Alexandria database.

a = 3.2038 Å, b = 5.3270 Å, c = 5.3270 Å
α = 120.00°, β = 90.00°, γ = 90.00°
Last column: nearest neighbours and their distance in Å.
Element x y z (fractional)
1 Sb 0.8340 0.3333 0.6667  3 Hg 3.08, 2 Sb 3.20
2 Tl 0.3331 0.6667 0.3333  2 Tl 3.20, 6 Sb 3.47, 6 Hg 3.47
3 Hg 0.8329 0.0000 0.0000  3 Sb 3.08, 2 Hg 3.20

Calculated values
SG	P-6m2, No. 187
ΔE_f (raw)	0.0412	eV/atom
E	-59.221	eV per atom

***

- What is the E in the second record?
  -28.487 eV per atom